Entry 1:
The following is a PBE-GGA calculation of a geometry-optimized Ho4Sc3 structure, from Alexandria.

The space group is Immm (No. 71) and the conventional cell measures 3.437, 4.754 and 24.049 Å, with angles of 90.00, 90.00 and 90.00 degrees. Symmetry generates all atoms from Ho at (0.000, 0.000, 0.071), Ho at (0.000, 0.000, 0.212), Sc at (0.000, 0.000, 0.358) and Sc at (0.000, 0.000, 0.500).


Entry 2:
The following is a PBE-GGA calculation of a geometry-optimized Ho4Sc structure, from Alexandria.

As for the distance to the lowest polymorph of the same formula: 570 meV per atom.

The space group is Pm-3m (No. 221) and the conventional cell measures 5.495, 5.495 and 5.495 Å, with angles of 90.00, 90.00 and 90.00 degrees. Symmetry generates all atoms from Ho at (0.000, 0.000, 0.000), Ho at (0.000, 0.500, 0.500) and Sc at (0.500, 0.500, 0.500).


| no. | formation enthalpy at 0 K (eV per formula unit) |
| --- | --- |
| 1 | 0.3 |
| 2 | 3.0 |